SnSeS: optimized geometry, PBE.

Values from the calculation:
E_form (uncorrected)   -0.200 eV/atom
ΔE to the lowest computed polymorph   159 meV/atom
Symmetry   No. 12

CIF file:
```
data_SnSeS
_chemical_formula_sum 'Sn2 Se2 S2'
_cell_length_a 4.1794
_cell_length_b 4.1794
_cell_length_c 9.2367
_cell_angle_alpha 95.93
_cell_angle_beta 95.93
_cell_angle_gamma 90.11
_space_group_name_H-M_alt 'P 1'
_space_group_IT_number 1
loop_
_space_group_symop_operation_xyz
'x,y,z'
loop_
_atom_site_label
_atom_site_type_symbol
_atom_site_fract_x
_atom_site_fract_y
_atom_site_fract_z
_atom_site_occupancy
Sn1 Sn 0.2097 0.2097 0.3354 1
Sn2 Sn 0.7903 0.7903 0.6646 1
Se1 Se 0.2774 0.2774 0.6584 1
Se2 Se 0.7226 0.7226 0.3416 1
S1 S 0.1671 0.1671 0.0285 1
S2 S 0.8329 0.8329 0.9715 1
```